UNiSbRh | PBE-GGA | optimized geometry

Lattice parameters (Å, degrees): 6.6260 6.6260 6.6260 90.00 90.00 90.00
Closest atoms and distances in Å follow each position.
Space group F-43m (No. 216)
Unique sites:
1 U 0.0000 0.0000 0.0000  4 Rh 2.87, 4 Ni 2.87
2 Ni 0.2500 0.2500 0.2500  4 U 2.87, 4 Sb 2.87
3 Sb 0.0000 0.0000 0.5000  4 Ni 2.87, 4 Rh 2.87
4 Rh 0.2500 0.2500 0.7500  4 Sb 2.87, 4 U 2.87

E_form (uncorrected)	-0.3146	eV/atom
crystal system	cubic
N(E_F)	1.48	states/eV per atom
electronic total energy	-29.80	eV/f.u.